Record 1
! Ce2AsN GGA-PBE optimized geometry; values from VASP
! uncorrected formation energy	-126.75	kJ/mol of atoms
! space group	P4/nmm (129)
! relative energy among the computed polymorphs	14	meV per atom
! total magnetic moment	0.418	μB/atom
! volume	22.4	A^3/atom
&SYSTEM
  ibrav = 0, nat = 8, ntyp = 3
/
ATOMIC_SPECIES
As 74.92 As.upf
Ce 140.12 Ce.upf
N 14.01 N.upf
CELL_PARAMETERS angstrom
-3.5183 -2.6545 -0.9121
1.1091 0.0287 -4.3618
5.0597 -7.1319 1.2398
ATOMIC_POSITIONS angstrom
As -0.7870 -3.4061 -3.7049
As 3.4375 -6.3515 -0.3292
Ce 0.1664 -1.7395 -1.1297
Ce 2.4819 -4.2081 -2.8794
Ce 2.4841 -8.0181 -2.9044
Ce 0.1685 -5.5495 -1.1547
N 1.4298 -3.5204 -0.8202
N 1.2206 -6.2372 -3.2139

Record 2
! Mo4P2Cl GGA-PBE optimized geometry; values from VASP
! uncorrected formation energy	77.56	kJ/mol of atoms
! space group	I4/mmm (139)
! total magnetic moment	0.000	μB/atom
! volume	16.7	A^3/atom
&SYSTEM
  ibrav = 0, nat = 7, ntyp = 3
/
ATOMIC_SPECIES
P 30.97 P.upf
Mo 95.94 Mo.upf
Cl 35.45 Cl.upf
CELL_PARAMETERS angstrom
-0.4618 -0.7135 -4.2549
-3.7955 -1.9675 0.7419
-5.0635 4.0973 -2.3499
ATOMIC_POSITIONS angstrom
P -2.8626 0.0194 -1.9049
P -6.4581 1.3968 -3.9581
Mo -1.8977 -0.9838 0.3709
Mo -3.9493 2.0329 -2.1247
Mo -0.2309 -0.3568 -2.1275
Mo -5.3714 -0.6167 -3.7383
Cl 0.0000 0.0000 0.0000

Record 3
! LiSbTe GGA-PBE optimized geometry; values from VASP
! uncorrected formation energy	-27.94	kJ/mol of atoms
! space group	Imm2 (44)
! relative energy among the computed polymorphs	174	meV per atom
! total magnetic moment	0.000	μB/atom
! volume	26.2	A^3/atom
&SYSTEM
  ibrav = 0, nat = 3, ntyp = 3
/
ATOMIC_SPECIES
Sb 121.76 Sb.upf
Te 127.60 Te.upf
Li 6.94 Li.upf
CELL_PARAMETERS angstrom
-6.0521 1.6246 -0.8113
-4.9509 -3.4742 -1.8287
4.8798 0.9357 3.9035
ATOMIC_POSITIONS angstrom
Sb -6.9208 -1.1633 -1.6605
Te -4.1502 -0.6976 -0.9958
Li -10.9350 -1.8381 -2.6236

Record 4
! TmMgPd14 GGA-PBE optimized geometry; values from VASP
! space group	P4/mmm (123)
! total magnetic moment	0.000	μB/atom
! DFT formation energy	-333.8	meV per atom
! volume	15.9	A^3/atom
&SYSTEM
  ibrav = 0, nat = 16, ntyp = 3
/
ATOMIC_SPECIES
Pd 106.42 Pd.upf
Mg 24.30 Mg.upf
Tm 168.93 Tm.upf
CELL_PARAMETERS angstrom
-2.0241 4.7688 -2.2569
-5.0178 -0.9922 2.4020
2.2994 4.0389 6.4719
ATOMIC_POSITIONS angstrom
Pd -1.6525 3.0273 6.0829
Pd -2.6407 1.4162 0.0544
Pd -3.9999 2.9396 4.4913
Pd -0.3253 1.4775 1.6180
Pd -3.6527 3.8006 -1.0741
Pd -2.8153 0.9848 2.8101
Pd -2.6567 5.3939 4.9628
Pd -2.5031 5.8201 2.1619
Pd -6.1617 3.3045 0.1269
Pd -1.3295 3.8441 0.4978
Pd -5.1496 0.9201 1.2554
Pd -3.8195 3.3514 1.6899
Pd 0.8375 3.5199 4.8907
Pd -0.1667 5.8865 3.7707
Mg -1.4910 3.4356 3.2904
Tm -5.0119 5.3240 3.3629

Record 5
! CaSbTe2P GGA-PBE optimized geometry; values from VASP
! uncorrected formation energy	-11.49	kJ/mol of atoms
! space group	P4/mmm (123)
! relative energy among the computed polymorphs	0	meV per atom
! total magnetic moment	0.000	μB/atom
! volume	30.2	A^3/atom
&SYSTEM
  ibrav = 0, nat = 5, ntyp = 4
/
ATOMIC_SPECIES
Sb 121.76 Sb.upf
Ca 40.08 Ca.upf
Te 127.60 Te.upf
P 30.97 P.upf
CELL_PARAMETERS angstrom
-0.0008 -3.0047 -4.5786
-0.7884 -4.5308 2.9735
-4.9767 0.6057 -0.3966
ATOMIC_POSITIONS angstrom
Sb -2.4884 0.3029 -0.1983
Ca -2.8830 -3.4649 -1.0009
Te -0.3942 -2.2654 1.4867
Te -0.0004 -1.5023 -2.2893
P 0.0000 0.0000 0.0000

Record 6
! Na2PuRhO5 GGA-PBE optimized geometry; values from VASP
! uncorrected formation energy	-128.69	kJ/mol of atoms
! space group	P4/mbm (127)
! total magnetic moment	0.433	μB/atom
! volume	11.9	A^3/atom
&SYSTEM
  ibrav = 0, nat = 18, ntyp = 4
/
ATOMIC_SPECIES
O 16.00 O.upf
Na 22.99 Na.upf
Rh 102.91 Rh.upf
Pu 244.00 Pu.upf
CELL_PARAMETERS angstrom
5.9904 0.0000 0.0000
0.0000 5.9787 0.0000
0.0000 0.0000 5.9787
ATOMIC_POSITIONS angstrom
O 2.9952 0.0000 0.0000
O 4.7741 1.9175 1.0719
O 4.7741 4.0612 4.9069
O 4.7741 4.9069 1.9175
O 1.2163 4.9069 1.9175
O 1.2163 1.0719 4.0612
O 1.2163 1.9175 1.0719
O 1.2163 4.0612 4.9069
O 4.7741 1.0719 4.0612
O 2.9952 2.9894 2.9894
Na 2.9952 3.9261 0.9368
Na 2.9952 0.9368 2.0526
Na 2.9952 2.0526 5.0420
Na 2.9952 5.0420 3.9261
Rh 0.0000 2.9894 0.0000
Rh 0.0000 0.0000 2.9894
Pu 0.0000 0.0000 0.0000
Pu 0.0000 2.9894 2.9894